(1)
The following is a PBE calculation of a geometry-optimized Pm2AlSb structure, from the Alexandria database.

Calculated values
SG: No. 225
energy above the lowest structure with this stoichiometry: 50 kJ/mol of formula units
raw total energy: -4.832 eV/atom
ΔE_f (raw): -1.96 eV per formula unit

Cell: 5.3825 5.3825 5.3825 Å, 60.00 60.00 60.00°
With the nearest neighbours (Å) after each atom.
Fractional coordinates of all 4 atoms:
1 Sb 0.5000 0.5000 0.5000  8 Pm 3.30
2 Al 0.0000 0.0000 0.0000  8 Pm 3.30
3 Pm 0.7500 0.7500 0.7500  4 Sb 3.30, 4 Al 3.30
4 Pm 0.2500 0.2500 0.2500  4 Sb 3.30, 4 Al 3.30

=====

(2)
The following is a PBE calculation of a geometry-optimized Pm6AlSb2 structure, from the Alexandria database.

Calculated values
SG: No. 189
raw total energy: -5.113 eV/atom
ΔE_f (raw): -5.53 eV per formula unit

Cell: 4.4502 8.4685 8.4682 Å, 120.00 90.00 90.00°
With the nearest neighbours (Å) after each atom.
Fractional coordinates of all 9 atoms:
1 Pm 0.0000 0.0000 0.2488  2 Al 3.06, 2 Sb 3.24
2 Pm 0.5000 0.4102 0.4102  4 Sb 3.39, 1 Al 3.47, 6 Pm 3.65-3.76
3 Pm 0.0000 0.7512 0.7512  2 Al 3.06, 2 Sb 3.24
4 Pm 0.5000 0.5898 0.0000  4 Sb 3.39, 1 Al 3.47, 6 Pm 3.65-3.76
5 Pm 0.0000 0.2488 0.0000  2 Al 3.06, 2 Sb 3.24
6 Pm 0.5000 0.0000 0.5898  4 Sb 3.39, 1 Al 3.47, 6 Pm 3.65-3.76
7 Sb 0.0000 0.6667 0.3334  9 Pm 3.24-3.39
8 Sb 0.0000 0.3333 0.6666  9 Pm 3.24-3.39
9 Al 0.5000 0.0000 0.0000  6 Pm 3.06

=====

(3)
The following is a PBE calculation of a geometry-optimized Pm2AlSb structure, from the Alexandria database.

Calculated values
SG: No. 123
energy above the lowest structure with this stoichiometry: 0 kJ/mol of formula units
raw total energy: -4.963 eV/atom
ΔE_f (raw): -2.49 eV per formula unit

Cell: 4.0035 4.0035 6.7698 Å, 90.00 90.00 90.00°
With the nearest neighbours (Å) after each atom.
Fractional coordinates of all 4 atoms:
1 Al 0.5000 0.5000 0.5000  8 Pm 3.31, 2 Sb 3.38
2 Sb 0.5000 0.5000 0.0000  8 Pm 3.29, 2 Al 3.38
3 Pm 0.0000 0.0000 0.7521  4 Sb 3.29, 4 Al 3.31, 2 Pm 3.36-3.41
4 Pm 0.0000 0.0000 0.2479  4 Sb 3.29, 4 Al 3.31, 2 Pm 3.36-3.41

=====

(4)
The following is a PBE calculation of a geometry-optimized PmAl4Sb structure, from the Alexandria database.

Calculated values
SG: No. 216
raw total energy: -4.168 eV/atom
ΔE_f (raw): -1.16 eV per formula unit

Cell: 5.6096 5.6096 5.6096 Å, 60.00 60.00 60.00°
With the nearest neighbours (Å) after each atom.
Fractional coordinates of all 6 atoms:
1 Pm 0.2500 0.2500 0.2500  12 Al 3.29, 4 Sb 3.44
2 Al 0.6251 0.6251 0.1246  6 Al 2.80-2.81
3 Al 0.6251 0.6251 0.6251  6 Al 2.80-2.81
4 Al 0.1246 0.6251 0.6251  6 Al 2.80-2.81
5 Al 0.6251 0.1246 0.6251  6 Al 2.80-2.81
6 Sb 0.0000 0.0000 0.0000  12 Al 3.29, 4 Pm 3.44